[1]
Density functional theory data (PBE) for an optimized crystal structure of LiHoAu.

```
data_LiHoAu
_chemical_formula_sum 'Li2 Ho2 Au2'
_cell_length_a 3.685
_cell_length_b 3.685
_cell_length_c 9.157
_cell_angle_alpha 90.00
_cell_angle_beta 90.00
_cell_angle_gamma 90.00
_space_group_name_H-M_alt 'I 4 m m'
_space_group_IT_number 107
_space_group_name_Hall 'I 4 -2'
loop_
_atom_site_label
_atom_site_type_symbol
_atom_site_fract_x
_atom_site_fract_y
_atom_site_fract_z
_atom_site_occupancy
Li1 Li 0.000 0.000 0.000 1
Ho1 Ho 0.000 0.000 0.309 1
Au1 Au 0.000 0.000 0.649 1
```

Output
Its calculated formation energy is -1.6 eV per formula unit. For the offset from the most stable computed form, the calculation gives 81.0 meV/atom. As for the calculated volume: 20.7 Å³ per atom.



[2]
Density functional theory data (PBE) for an optimized crystal structure of Li3HoAu4.

```
data_Li3HoAu4
_chemical_formula_sum 'Li6 Ho2 Au8'
_cell_length_a 6.657
_cell_length_b 6.657
_cell_length_c 6.657
_cell_angle_alpha 90.00
_cell_angle_beta 90.00
_cell_angle_gamma 90.00
_space_group_name_H-M_alt 'I m -3 m'
_space_group_IT_number 229
_space_group_name_Hall '-I 4 2 3'
loop_
_atom_site_label
_atom_site_type_symbol
_atom_site_fract_x
_atom_site_fract_y
_atom_site_fract_z
_atom_site_occupancy
Li1 Li 0.000 0.000 0.500 1
Ho1 Ho 0.000 0.000 0.000 1
Au1 Au 0.250 0.250 0.250 1
```

Output
Its calculated formation energy is -4.6 eV per formula unit. As for the calculated volume: 18.4 Å³ per atom.



[3]
Density functional theory data (PBE) for an optimized crystal structure of LiHo2Au3.

```
data_LiHo2Au3
_chemical_formula_sum 'Li2 Ho4 Au6'
_cell_length_a 4.9616
_cell_length_b 4.9616
_cell_length_c 11.9301
_cell_angle_alpha 90.00
_cell_angle_beta 90.00
_cell_angle_gamma 120.00
_space_group_name_H-M_alt 'P -3 m 1'
_space_group_IT_number 164
_space_group_name_Hall '-P 3 2"'
loop_
_atom_site_label
_atom_site_type_symbol
_atom_site_fract_x
_atom_site_fract_y
_atom_site_fract_z
_atom_site_occupancy
Li1 Li 0.3333 0.6667 0.1691 1
Ho1 Ho 0.0000 0.0000 0.0000 1
Ho2 Ho 0.0000 0.0000 0.5000 1
Ho3 Ho 0.3333 0.6667 0.6846 1
Au1 Au 0.0000 0.0000 0.2501 1
Au2 Au 0.3333 0.6667 0.4222 1
Au3 Au 0.3333 0.6667 0.9341 1
```

Output
Its calculated formation energy is -4.6 eV per formula unit. For the offset from the most stable computed form, the calculation gives 0.0 meV/atom. As for the calculated volume: 21.2 Å³ per atom.



[4]
Density functional theory data (PBE) for an optimized crystal structure of LiHoAu.

```
data_LiHoAu
_chemical_formula_sum 'Li4 Ho4 Au4'
_cell_length_a 6.663
_cell_length_b 6.663
_cell_length_c 6.663
_cell_angle_alpha 90.00
_cell_angle_beta 90.00
_cell_angle_gamma 90.00
_space_group_name_H-M_alt 'F -4 3 m'
_space_group_IT_number 216
_space_group_name_Hall 'F -4 2 3'
loop_
_atom_site_label
_atom_site_type_symbol
_atom_site_fract_x
_atom_site_fract_y
_atom_site_fract_z
_atom_site_occupancy
Li1 Li 0.000 0.000 0.000 1
Ho1 Ho 0.000 0.000 0.500 1
Au1 Au 0.250 0.250 0.750 1
```

Output
Its calculated formation energy is -1.3 eV per formula unit. For the offset from the most stable computed form, the calculation gives 181.5 meV/atom. As for the calculated volume: 24.7 Å³ per atom.



[5]
Density functional theory data (PBE) for an optimized crystal structure of LiHoAu6.

```
data_LiHoAu6
_chemical_formula_sum 'Li3 Ho3 Au18'
_cell_length_a 7.7804
_cell_length_b 7.7804
_cell_length_c 9.9829
_cell_angle_alpha 90.00
_cell_angle_beta 90.00
_cell_angle_gamma 120.00
_space_group_name_H-M_alt 'R -3 m'
_space_group_IT_number 166
_space_group_name_Hall '-R 3 2"'
loop_
_atom_site_label
_atom_site_type_symbol
_atom_site_fract_x
_atom_site_fract_y
_atom_site_fract_z
_atom_site_occupancy
Li1 Li 0.0000 0.0000 0.0000 1
Ho1 Ho 0.0000 0.0000 0.5000 1
Au1 Au 0.0941 0.5470 0.8775 1
```

Output
Its calculated formation energy is -2.2 eV per formula unit. As for the calculated volume: 21.8 Å³ per atom.



[6]
Density functional theory data (PBE) for an optimized crystal structure of Li7HoAu4.

```
data_Li7HoAu4
_chemical_formula_sum 'Li14 Ho2 Au8'
_cell_length_a 13.322
_cell_length_b 4.729
_cell_length_c 8.525
_cell_angle_alpha 90.00
_cell_angle_beta 127.41
_cell_angle_gamma 90.00
_space_group_name_H-M_alt 'C 1 2/m 1'
_space_group_IT_number 12
loop_
_space_group_symop_operation_xyz
'x,y,z'
'-x,-y,-z'
'-x,y,-z'
'x,-y,z'
'x+1/2,y+1/2,z'
'-x+1/2,-y+1/2,-z'
'-x+1/2,y+1/2,-z'
'x+1/2,-y+1/2,z'
loop_
_atom_site_label
_atom_site_type_symbol
_atom_site_fract_x
_atom_site_fract_y
_atom_site_fract_z
_atom_site_occupancy
Li1 Li 0.000 0.000 0.000 1
Li2 Li 0.062 0.500 0.417 1
Li3 Li 0.186 0.000 0.634 1
Li4 Li 0.217 0.500 0.875 1
Ho1 Ho 0.000 0.500 0.000 1
Au1 Au 0.060 0.000 0.776 1
Au2 Au 0.192 0.000 0.338 1
```

Output
Its calculated formation energy is -3.2 eV per formula unit. As for the calculated volume: 17.8 Å³ per atom.



[7]
Density functional theory data (PBE) for an optimized crystal structure of LiHoAu4.

```
data_LiHoAu4
_chemical_formula_sum 'Li4 Ho4 Au16'
_cell_length_a 7.839
_cell_length_b 7.839
_cell_length_c 7.839
_cell_angle_alpha 90.00
_cell_angle_beta 90.00
_cell_angle_gamma 90.00
_space_group_name_H-M_alt 'F -4 3 m'
_space_group_IT_number 216
_space_group_name_Hall 'F -4 2 3'
loop_
_atom_site_label
_atom_site_type_symbol
_atom_site_fract_x
_atom_site_fract_y
_atom_site_fract_z
_atom_site_occupancy
Li1 Li 0.000 0.000 0.000 1
Ho1 Ho 0.250 0.250 0.750 1
Au1 Au 0.125 0.125 0.375 1
```

Output
Its calculated formation energy is -2.8 eV per formula unit. For the offset from the most stable computed form, the calculation gives 124.4 meV/atom. As for the calculated volume: 20.1 Å³ per atom.



[8]
Density functional theory data (PBE) for an optimized crystal structure of Li2HoAu2.

```
data_Li2HoAu2
_chemical_formula_sum 'Li4 Ho2 Au4'
_cell_length_a 5.360
_cell_length_b 5.362
_cell_length_c 7.706
_cell_angle_alpha 110.30
_cell_angle_beta 110.31
_cell_angle_gamma 90.05
_space_group_name_H-M_alt 'P -1'
_space_group_IT_number 2
loop_
_space_group_symop_operation_xyz
'x,y,z'
'-x,-y,-z'
loop_
_atom_site_label
_atom_site_type_symbol
_atom_site_fract_x
_atom_site_fract_y
_atom_site_fract_z
_atom_site_occupancy
Li1 Li 0.193 0.193 0.493 1
Li2 Li 0.304 0.697 0.502 1
Ho1 Ho 0.248 0.247 0.000 1
Au1 Au 0.145 0.635 0.784 1
Au2 Au 0.363 0.852 0.216 1
```

Output
Its calculated formation energy is -3.1 eV per formula unit. For the offset from the most stable computed form, the calculation gives 0.0 meV/atom. As for the calculated volume: 19.3 Å³ per atom.



[9]
Density functional theory data (PBE) for an optimized crystal structure of LiHo4Au5.

```
data_LiHo4Au5
_chemical_formula_sum 'Li1 Ho4 Au5'
_cell_length_a 3.540
_cell_length_b 3.540
_cell_length_c 17.285
_cell_angle_alpha 90.00
_cell_angle_beta 90.00
_cell_angle_gamma 90.00
_space_group_name_H-M_alt 'P 4/m m m'
_space_group_IT_number 123
_space_group_name_Hall '-P 4 2'
loop_
_atom_site_label
_atom_site_type_symbol
_atom_site_fract_x
_atom_site_fract_y
_atom_site_fract_z
_atom_site_occupancy
Li1 Li 0.000 0.000 0.000 1
Ho1 Ho 0.000 0.000 0.183 1
Ho2 Ho 0.000 0.000 0.395 1
Au1 Au 0.500 0.500 0.084 1
Au2 Au 0.500 0.500 0.291 1
Au3 Au 0.500 0.500 0.500 1
```

Output
Its calculated formation energy is -8.0 eV per formula unit. As for the calculated volume: 21.7 Å³ per atom.



[10]
Density functional theory data (PBE) for an optimized crystal structure of Li2HoAu8.

```
data_Li2HoAu8
_chemical_formula_sum 'Li4 Ho2 Au16'
_cell_length_a 15.063
_cell_length_b 4.105
_cell_length_c 6.685
_cell_angle_alpha 90.00
_cell_angle_beta 106.97
_cell_angle_gamma 90.00
_space_group_name_H-M_alt 'C 1 2/m 1'
_space_group_IT_number 12
loop_
_space_group_symop_operation_xyz
'x,y,z'
'-x,-y,-z'
'-x,y,-z'
'x,-y,z'
'x+1/2,y+1/2,z'
'-x+1/2,-y+1/2,-z'
'-x+1/2,y+1/2,-z'
'x+1/2,-y+1/2,z'
loop_
_atom_site_label
_atom_site_type_symbol
_atom_site_fract_x
_atom_site_fract_y
_atom_site_fract_z
_atom_site_occupancy
Li1 Li 0.221 0.000 0.148 1
Ho1 Ho 0.000 0.500 0.500 1
Au1 Au 0.047 0.000 0.220 1
Au2 Au 0.104 0.500 0.961 1
Au3 Au 0.146 0.000 0.704 1
Au4 Au 0.183 0.500 0.415 1
```

Output
Its calculated formation energy is -5.2 eV per formula unit. For the offset from the most stable computed form, the calculation gives 0.0 meV/atom. As for the calculated volume: 18.0 Å³ per atom.